Entry 1:
LiAc3B4O12: optimized geometry, GGA-PBE.

Lattice parameters (Å, degrees): 10.7542 10.7542 9.4564 90.00 90.00 120.00
Space group R32 (No. 155, hexagonal axes)
Unique sites:
Li: 0.0000 0.0000 0.0000
Ac: 0.0000 0.5201 0.0000
B: 0.0000 0.0000 0.5000
B: 0.0000 0.4802 0.5000
O: 0.0000 0.6084 0.5000
O: 0.0000 0.8712 0.5000
O: 0.0197 0.2053 0.8266

formation energy without anion corrections: -52.3 eV/f.u.
V: 947.13 Å³/cell


Entry 2:
LiAcBPd6: optimized geometry, GGA-PBE.

Lattice parameters (Å, degrees): 5.948 9.262 11.415 90.00 90.00 90.00
Space group Imma (No. 74)
Unique sites:
Li: 0.250 0.250 0.250
Ac: 0.000 0.250 0.668
B: 0.000 0.000 0.000
Pd: 0.000 0.250 0.425
Pd: 0.000 0.250 0.964
Pd: 0.244 0.015 0.126

ΔE_f: -0.33 eV/atom
V: 628.91 Å³/cell


Entry 3:
LiAc3B2Pd9: optimized geometry, GGA-PBE.

Lattice parameters (Å, degrees): 6.7059 6.7059 7.2719 90.00 90.00 120.00
Space group P-3m1 (No. 164)
Unique sites:
Li: 0.0000 0.0000 0.0000
Ac: 0.0000 0.0000 0.5000
Ac: 0.3333 0.6667 0.1661
B: 0.3333 0.6667 0.6467
Pd: 0.0000 0.5000 0.5000
Pd: 0.1825 0.3650 0.8180

ΔE_f: -0.57 eV/atom
V: 283.20 Å³/cell


Entry 4:
LiAc2B3Pd12: optimized geometry, GGA-PBE.

Lattice parameters (Å, degrees): 8.0626 8.0626 17.0343 90.00 90.00 120.00
Space group R-3m (No. 166, hexagonal axes)
Unique sites:
Li: 0.0000 0.0000 0.0000
Ac: 0.0000 0.0000 0.3861
B: 0.0000 0.5000 0.5000
Pd: 0.0113 0.5057 0.6195
Pd: 0.0691 0.5345 0.8428

ΔE_f: -0.38 eV/atom
V: 958.97 Å³/cell


Entry 5:
Li2AcBS4: optimized geometry, GGA-PBE.

Lattice parameters (Å, degrees): 6.375 6.375 7.505 90.00 90.00 90.00
Space group I-42m (No. 121)
Unique sites:
Li: 0.000 0.500 0.250
Ac: 0.000 0.000 0.000
B: 0.000 0.000 0.500
S: 0.178 0.178 0.353

formation energy without anion corrections: -10.7 eV/f.u.
V: 305.02 Å³/cell


Entry 6:
AcMgB2O6: optimized geometry, GGA-PBE.

Lattice parameters (Å, degrees): 5.0337 5.0337 16.8833 90.00 90.00 120.00
Space group R-3 (No. 148, hexagonal axes)
Unique sites:
Ac: 0.0000 0.0000 0.0000
Mg: 0.0000 0.0000 0.5000
B: 0.0000 0.0000 0.2398
O: 0.0366 0.4247 0.9093

formation energy without anion corrections: -26.3 eV/f.u.
V: 370.48 Å³/cell


Entry 7:
Ac3MgB2O8: optimized geometry, GGA-PBE.

Lattice parameters (Å, degrees): 5.3708 5.3708 6.9671 90.00 90.00 120.00
Space group P-3m1 (No. 164)
Unique sites:
Ac: 0.0000 0.0000 0.0000
Ac: 0.3333 0.6667 0.6760
Mg: 0.0000 0.0000 0.5000
B: 0.3333 0.6667 0.2334
O: 0.1797 0.3595 0.3156
O: 0.3333 0.6667 0.0280

formation energy without anion corrections: -39.4 eV/f.u.
V: 174.05 Å³/cell


Entry 8:
AcMg4B3O12: optimized geometry, GGA-PBE.

Lattice parameters (Å, degrees): 7.329 7.329 7.329 90.00 90.00 90.00
Space group Im-3 (No. 204)
Unique sites:
Ac: 0.000 0.000 0.000
Mg: 0.250 0.250 0.250
B: 0.000 0.000 0.500
O: 0.000 0.344 0.143

formation energy without anion corrections: -37.1 eV/f.u.
V: 393.67 Å³/cell


Entry 9:
AcMgBPd6: optimized geometry, GGA-PBE.

Lattice parameters (Å, degrees): 6.006 9.261 11.583 90.00 90.00 90.00
Space group Imma (No. 74)
Unique sites:
Ac: 0.000 0.250 0.176
Mg: 0.250 0.250 0.750
B: 0.000 0.000 0.500
Pd: 0.000 0.250 0.467
Pd: 0.000 0.250 0.934
Pd: 0.243 0.012 0.624

ΔE_f: -0.36 eV/atom
V: 644.31 Å³/cell


Entry 10:
Ac2MgBPt6: optimized geometry, GGA-PBE.

Lattice parameters (Å, degrees): 5.8802 5.8802 19.9928 90.00 90.00 120.00
Space group R-3m (No. 166, hexagonal axes)
Unique sites:
Ac: 0.0000 0.0000 0.2199
Mg: 0.0000 0.0000 0.5000
B: 0.0000 0.0000 0.0000
Pt: 0.0153 0.5076 0.2732

ΔE_f: -0.87 eV/atom
V: 598.69 Å³/cell


Entry 11:
Ac2MgB3Pt12: optimized geometry, GGA-PBE.

Lattice parameters (Å, degrees): 8.0494 8.0494 17.6221 90.00 90.00 120.00
Space group R-3m (No. 166, hexagonal axes)
Unique sites:
Ac: 0.0000 0.0000 0.1082
Mg: 0.0000 0.0000 0.5000
B: 0.0000 0.5000 0.0000
Pt: 0.9997 0.4998 0.1195
Pt: 0.0623 0.5311 0.3516

ΔE_f: -0.49 eV/atom
V: 988.83 Å³/cell


Entry 12:
AcMg2BRu2: optimized geometry, GGA-PBE.

Lattice parameters (Å, degrees): 4.350 4.350 6.006 90.00 90.00 90.00
Space group P4/mmm (No. 123)
Unique sites:
Ac: 0.000 0.000 0.000
Mg: 0.500 0.500 0.255
B: 0.000 0.000 0.500
Ru: 0.000 0.500 0.500

ΔE_f: -0.16 eV/atom
V: 113.65 Å³/cell


Entry 13:
AcMnB: optimized geometry, GGA-PBE.

Lattice parameters (Å, degrees): 4.022 5.551 5.692 71.80 89.66 89.60
Space group P-1 (No. 2)
Unique sites:
Ac: 0.250 0.184 0.192
Mn: 0.250 0.631 0.395
B: 0.250 0.294 0.661

ΔE_f: 0.03 eV/atom
V: 120.72 Å³/cell


Entry 14:
AcMn2B6: optimized geometry, GGA-PBE.

Lattice parameters (Å, degrees): 3.169 6.613 8.417 90.00 90.00 90.00
Space group Immm (No. 71)
Unique sites:
Ac: 0.000 0.000 0.000
Mn: 0.000 0.500 0.155
B: 0.000 0.134 0.500
B: 0.000 0.231 0.302

ΔE_f: -0.41 eV/atom
V: 176.40 Å³/cell


Entry 15:
AcMnB4: optimized geometry, GGA-PBE.

Lattice parameters (Å, degrees): 6.240 12.233 3.618 90.00 90.00 90.00
Space group Pbam (No. 55)
Unique sites:
Ac: 0.123 0.155 0.000
Mn: 0.122 0.422 0.000
B: 0.015 0.676 0.500
B: 0.110 0.542 0.500
B: 0.148 0.969 0.500
B: 0.238 0.831 0.500

ΔE_f: -0.26 eV/atom
V: 276.16 Å³/cell


Entry 16:
Ac3MnB2N6: optimized geometry, GGA-PBE.

Lattice parameters (Å, degrees): 5.5404 5.5404 6.5477 90.00 90.00 120.00
Space group P-3m1 (No. 164)
Unique sites:
Ac: 0.0000 0.0000 0.0000
Ac: 0.3333 0.6667 0.6775
Mn: 0.0000 0.0000 0.5000
B: 0.3333 0.6667 0.2764
N: 0.1793 0.3585 0.2938

formation energy without anion corrections: -10.8 eV/f.u.
V: 174.06 Å³/cell


Entry 17:
Ac2MnB2N6: optimized geometry, GGA-PBE.

Lattice parameters (Å, degrees): 5.2828 5.2828 15.8377 90.00 90.00 120.00
Space group R-3m (No. 166, hexagonal axes)
Unique sites:
Ac: 0.0000 0.0000 0.2270
Mn: 0.0000 0.0000 0.0000
B: 0.0000 0.0000 0.4081
N: 0.0136 0.5068 0.2576

formation energy without anion corrections: -7.9 eV/f.u.
V: 382.78 Å³/cell